[1]
Density functional theory data (PBE) for a geometry-optimized NaAgNO2 structure.

Computed properties:
* total energy: -15.37 eV/f.u.
* uncorrected formation energy: 1408 meV/atom

Unit cell a=4.210 b=4.210 c=4.366 alpha=90.00 beta=90.00 gamma=90.00
Fractional coordinates of all 5 atoms:
Na  0.000  0.000  0.000
Ag  0.500  0.500  0.500
N  0.000  0.000  0.500
O  0.000  0.500  0.000
O  0.500  0.000  0.000

=====

[2]
Density functional theory data (PBE) for a geometry-optimized NaAgN2O structure.

Computed properties:
* total energy: -14.59 eV/f.u.
* uncorrected formation energy: 2238 meV/atom

Unit cell a=4.330 b=4.330 c=4.157 alpha=90.00 beta=90.00 gamma=90.00
Fractional coordinates of all 5 atoms:
Na  0.000  0.000  0.000
Ag  0.500  0.500  0.500
N  0.000  0.500  0.000
N  0.500  0.000  0.000
O  0.000  0.000  0.500

=====

[3]
Density functional theory data (PBE) for a geometry-optimized NaPa4AgN8 structure.

Computed properties:
* total energy: -121.99 eV/f.u.
* uncorrected formation energy: -946 meV/atom

Unit cell a=6.654 b=6.654 c=6.654 alpha=65.15 beta=65.15 gamma=65.15
Fractional coordinates of all 14 atoms:
Na  0.000  0.000  0.000
Pa  0.503  0.992  0.992
Pa  0.549  0.549  0.549
Pa  0.992  0.503  0.992
Pa  0.992  0.992  0.503
Ag  0.356  0.356  0.356
N  0.211  0.749  0.749
N  0.219  0.219  0.219
N  0.299  0.299  0.758
N  0.299  0.758  0.299
N  0.749  0.211  0.749
N  0.749  0.749  0.211
N  0.758  0.299  0.299
N  0.766  0.766  0.766

=====

[4]
Density functional theory data (PBE) for a geometry-optimized NaAgPtN2 structure.

Computed properties:
* total energy: -21.58 eV/f.u.
* uncorrected formation energy: 1057 meV/atom

Unit cell a=4.059 b=4.059 c=5.418 alpha=90.00 beta=90.00 gamma=90.00
Fractional coordinates of all 5 atoms:
Na  0.000  0.000  0.000
Ag  0.500  0.500  0.000
Pt  0.500  0.500  0.500
N  0.000  0.500  0.500
N  0.500  0.000  0.500

=====

[5]
Density functional theory data (PBE) for a geometry-optimized NaAgSN2 structure.

Computed properties:
* relative energy among the computed polymorphs: 579 meV per atom
* total energy: -15.03 eV/f.u.
* uncorrected formation energy: 1983 meV/atom

Unit cell a=4.369 b=4.369 c=5.379 alpha=90.00 beta=90.00 gamma=90.00
Fractional coordinates of all 5 atoms:
Na  0.000  0.000  0.000
Ag  0.500  0.500  0.500
S  0.000  0.000  0.500
N  0.000  0.500  0.000
N  0.500  0.000  0.000

=====

[6]
Density functional theory data (PBE) for a geometry-optimized NaAgSN2 structure.

Computed properties:
* relative energy among the computed polymorphs: 0 meV per atom
* total energy: -17.93 eV/f.u.
* uncorrected formation energy: 1403 meV/atom

Unit cell a=4.219 b=4.219 c=5.267 alpha=90.00 beta=90.00 gamma=90.00
Fractional coordinates of all 5 atoms:
Na  0.000  0.000  0.000
Ag  0.500  0.500  0.500
S  0.500  0.500  0.000
N  0.000  0.500  0.500
N  0.500  0.000  0.500

=====

Q: The lowest total energy belongs to which entry?
A: NaPa4AgN8

=====

Q: The highest total energy belongs to which entry?
A: NaAgN2O

=====

Copy entry 2 word for word.
Density functional theory data (PBE) for a geometry-optimized NaAgN2O structure.

Computed properties:
* total energy: -14.59 eV/f.u.
* uncorrected formation energy: 2238 meV/atom

Unit cell a=4.330 b=4.330 c=4.157 alpha=90.00 beta=90.00 gamma=90.00
Fractional coordinates of all 5 atoms:
Na  0.000  0.000  0.000
Ag  0.500  0.500  0.500
N  0.000  0.500  0.000
N  0.500  0.000  0.000
O  0.000  0.000  0.500

=====

Q: What is the formula in the fourth record?
A: NaAgPtN2